[1]
This record from Alexandria via LeMat-Bulk describes crystalline Cs2K7Na at its relaxed geometry. The functional is PBE-GGA.

Summary:
SG: Cmmm (65)
crystal system: orthorhombic
formation energy: 0.0458 eV per atom
DOS(E_F): 7.91 states/eV/f.u.
magnetization: 0.0 μB/f.u.

a = 19.9562 Å, b = 19.9562 Å, c = 4.5215 Å
α = 90.00°, β = 90.00°, γ = 154.67°
With the nearest neighbours (Å) after each atom.
Sites, in units of the cell vectors:
Cs  0.2043  0.7957  0.0000  2 Cs 4.52, 8 K 4.98-5.01
Cs  0.7957  0.2043  0.0000  2 Cs 4.52, 8 K 4.98-5.01
K  0.0000  0.0000  0.0000  6 K 4.20-4.52
K  0.1692  0.3505  0.0000  7 K 4.20-4.69, 2 Na 4.69
K  0.3187  0.6813  0.5000  6 K 4.52-4.69, 6 Cs 5.00-5.01
K  0.3505  0.1692  0.0000  7 K 4.20-4.69, 2 Na 4.69
K  0.6495  0.8308  0.0000  7 K 4.20-4.69, 2 Na 4.69
K  0.6813  0.3187  0.5000  6 K 4.52-4.69, 6 Cs 5.00-5.01
K  0.8308  0.6495  0.0000  7 K 4.20-4.69, 2 Na 4.69
Na  0.5000  0.5000  0.5000  2 Na 4.52, 12 K 4.69-4.93

=====

[2]
This record from Alexandria via LeMat-Bulk describes crystalline CsK2Na5 at its relaxed geometry. The functional is PBE-GGA.

Summary:
SG: Cm (8)
crystal system: monoclinic
formation energy: 0.0474 eV per atom
DOS(E_F): 4.09 states/eV/f.u.
magnetization: 0.0 μB/f.u.

a = 13.7170 Å, b = 9.1000 Å, c = 9.1020 Å
α = 90.00°, β = 130.91°, γ = 90.00°
With the nearest neighbours (Å) after each atom.
Sites, in units of the cell vectors:
Cs  0.0000  0.0000  0.0000  9 Na 4.18-4.32, 4 K 4.63-4.66
Cs  0.5000  0.5000  0.0000  9 Na 4.18-4.32, 4 K 4.63-4.66
K  0.0909  0.0000  0.5914  10 Na 4.09-4.55
K  0.0909  0.5000  0.0869  10 Na 4.10-4.56
K  0.5909  0.0000  0.0869  10 Na 4.10-4.56
K  0.5909  0.5000  0.5914  10 Na 4.09-4.55
Na  0.0921  0.5000  0.5894  4 Na 3.76-3.78
Na  0.3292  0.2047  0.5323  3 Na 3.71-3.78, 2 K 4.09-4.12
Na  0.3292  0.7953  0.5323  3 Na 3.71-3.78, 2 K 4.09-4.12
Na  0.3320  0.2027  0.1276  3 Na 3.69-3.76, 2 K 4.10-4.13
Na  0.3320  0.7973  0.1276  3 Na 3.69-3.76, 2 K 4.10-4.13
Na  0.5921  0.0000  0.5894  4 Na 3.76-3.78
Na  0.8292  0.2953  0.5323  3 Na 3.71-3.78, 2 K 4.09-4.12
Na  0.8292  0.7047  0.5323  3 Na 3.71-3.78, 2 K 4.09-4.12
Na  0.8320  0.2973  0.1276  3 Na 3.69-3.76, 2 K 4.10-4.13
Na  0.8320  0.7027  0.1276  3 Na 3.69-3.76, 2 K 4.10-4.13

=====

[3]
This record from Alexandria via LeMat-Bulk describes crystalline Cs3K4Na at its relaxed geometry. The functional is PBE-GGA.

Summary:
SG: Pmn2_1 (31)
crystal system: orthorhombic
formation energy: 0.0258 eV per atom
DOS(E_F): 7.28 states/eV/f.u.
magnetization: 0.0 μB/f.u.

a = 15.4273 Å, b = 10.5778 Å, c = 8.0100 Å
α = 90.00°, β = 90.00°, γ = 90.00°
With the nearest neighbours (Å) after each atom.
Sites, in units of the cell vectors:
Cs  0.0000  0.1159  0.0000  2 Na 4.74-5.23, 4 K 4.85-5.11, 4 Cs 5.00-5.01
Cs  0.2252  0.1339  0.4480  1 Na 4.75, 5 K 4.77-5.11, 4 Cs 4.96-5.01
Cs  0.2748  0.8661  0.9480  1 Na 4.75, 5 K 4.77-5.11, 4 Cs 4.96-5.01
Cs  0.5000  0.8841  0.5000  2 Na 4.74-5.23, 4 K 4.85-5.11, 4 Cs 5.00-5.01
Cs  0.7252  0.8661  0.9480  1 Na 4.75, 5 K 4.77-5.11, 4 Cs 4.96-5.01
Cs  0.7748  0.1339  0.4480  1 Na 4.75, 5 K 4.77-5.11, 4 Cs 4.96-5.01
K  0.0000  0.4307  0.5606  1 Na 4.29, 4 K 4.33-4.60, 2 Cs 4.77
K  0.0000  0.6344  0.0525  2 Na 4.43-4.64, 6 K 4.49-4.90
K  0.2429  0.6161  0.4463  4 K 4.33-4.84, 1 Na 4.47, 2 Cs 4.81-4.84
K  0.2571  0.3839  0.9463  4 K 4.33-4.84, 1 Na 4.47, 2 Cs 4.81-4.84
K  0.5000  0.3656  0.5525  2 Na 4.43-4.64, 6 K 4.49-4.90
K  0.5000  0.5693  0.0606  1 Na 4.29, 4 K 4.33-4.60, 2 Cs 4.77
K  0.7429  0.3839  0.9463  4 K 4.33-4.84, 1 Na 4.47, 2 Cs 4.81-4.84
K  0.7571  0.6161  0.4463  4 K 4.33-4.84, 1 Na 4.47, 2 Cs 4.81-4.84
Na  0.0000  0.8355  0.5383  5 K 4.29-4.64, 3 Cs 4.74-4.75
Na  0.5000  0.1645  0.0383  5 K 4.29-4.64, 3 Cs 4.74-4.75

=====

[4]
This record from Alexandria via LeMat-Bulk describes crystalline Cs2KNa2 at its relaxed geometry. The functional is PBE-GGA.

Summary:
SG: I4/mmm (139)
crystal system: tetragonal
formation energy: 0.1143 eV per atom
DOS(E_F): 5.22 states/eV/f.u.
magnetization: 0.0 μB/f.u.

a = 6.5710 Å, b = 6.5710 Å, c = 18.2866 Å
α = 90.00°, β = 90.00°, γ = 90.00°
With the nearest neighbours (Å) after each atom.
Sites, in units of the cell vectors:
Cs  0.0000  0.5000  0.2500  4 Na 4.40, 4 Cs 4.65
Cs  0.0000  0.5000  0.7500  4 Na 4.40, 4 Cs 4.65
Cs  0.5000  0.0000  0.2500  4 Na 4.40, 4 Cs 4.65
Cs  0.5000  0.0000  0.7500  4 Na 4.40, 4 Cs 4.65
K  0.0000  0.0000  0.0000  8 Na 4.93
K  0.5000  0.5000  0.5000  8 Na 4.93
Na  0.0000  0.0000  0.4104  1 Na 3.28
Na  0.0000  0.0000  0.5896  1 Na 3.28
Na  0.5000  0.5000  0.0896  1 Na 3.28
Na  0.5000  0.5000  0.9104  1 Na 3.28

=====

[5]
This record from Alexandria via LeMat-Bulk describes crystalline Cs5K2Na4 at its relaxed geometry. The functional is PBE-GGA.

Summary:
SG: C2/m (12)
crystal system: monoclinic
formation energy: 0.0527 eV per atom
DOS(E_F): 8.75 states/eV/f.u.
magnetization: 0.0 μB/f.u.

a = 9.1982 Å, b = 9.1982 Å, c = 11.9335 Å
α = 104.94°, β = 104.94°, γ = 63.17°
With the nearest neighbours (Å) after each atom.
Sites, in units of the cell vectors:
Cs  0.0000  0.0000  0.0000  4 Na 4.24-4.52
Cs  0.0764  0.5575  0.3299  5 Na 4.31-4.80, 1 Cs 4.64, 2 K 4.78-4.79
Cs  0.4425  0.9236  0.6701  5 Na 4.31-4.80, 1 Cs 4.64, 2 K 4.78-4.79
Cs  0.5575  0.0764  0.3299  5 Na 4.31-4.80, 1 Cs 4.64, 2 K 4.78-4.79
Cs  0.9236  0.4425  0.6701  5 Na 4.31-4.80, 1 Cs 4.64, 2 K 4.78-4.79
K  0.4555  0.4555  0.7849  2 Na 4.09-4.15
K  0.5445  0.5445  0.2151  2 Na 4.09-4.15
Na  0.0601  0.0601  0.3707  1 Na 4.07, 5 Cs 4.24-4.46
Na  0.2875  0.2875  0.9952  2 K 4.09-4.15, 5 Cs 4.49-4.52
Na  0.7125  0.7125  0.0048  2 K 4.09-4.15, 5 Cs 4.49-4.52
Na  0.9399  0.9399  0.6293  1 Na 4.07, 5 Cs 4.24-4.46

=====

[6]
This record from Alexandria via LeMat-Bulk describes crystalline Cs3KNa8 at its relaxed geometry. The functional is PBE-GGA.

Summary:
SG: P3m1 (156)
crystal system: trigonal
formation energy: 0.0044 eV per atom
DOS(E_F): 6.49 states/eV/f.u.
magnetization: 0.0 μB/f.u.

a = 7.6727 Å, b = 7.6727 Å, c = 12.7783 Å
α = 90.00°, β = 90.00°, γ = 120.00°
With the nearest neighbours (Å) after each atom.
Sites, in units of the cell vectors:
Cs  0.0000  0.0000  0.0000  12 Na 4.50-4.63, 4 Cs 4.73-4.84
Cs  0.0000  0.0000  0.3790  12 Na 4.48-4.52, 3 K 4.69, 1 Cs 4.84
Cs  0.3333  0.6667  0.8696  12 Na 4.52-4.68, 1 K 4.73, 3 Cs 4.73
K  0.3333  0.6667  0.4994  12 Na 4.49-4.51, 4 Cs 4.69-4.73
Na  0.3363  0.1682  0.6825  6 Na 3.80-3.94
Na  0.5003  0.0005  0.1918  6 Na 3.83-3.92
Na  0.5003  0.4997  0.1918  6 Na 3.83-3.92
Na  0.6667  0.3333  0.4390  6 Na 3.81-3.86
Na  0.6667  0.3333  0.9386  6 Na 3.92-3.94
Na  0.8318  0.1682  0.6825  6 Na 3.80-3.94
Na  0.8318  0.6637  0.6825  6 Na 3.80-3.94
Na  0.9995  0.4997  0.1918  6 Na 3.83-3.92

=====

[7]
This record from Alexandria via LeMat-Bulk describes crystalline CsK7Na12 at its relaxed geometry. The functional is PBE-GGA.

Summary:
SG: R-3 (148)
crystal system: trigonal
formation energy: 0.0357 eV per atom
DOS(E_F): 9.96 states/eV/f.u.
magnetization: 0.0 μB/f.u.

a = 10.9377 Å, b = 10.9377 Å, c = 10.9377 Å
α = 108.30°, β = 108.30°, γ = 108.30°
With the nearest neighbours (Å) after each atom.
Sites, in units of the cell vectors:
Cs  0.0000  0.0000  0.0000  6 Na 4.47, 6 K 4.66
K  0.0700  0.4758  0.2000  8 Na 3.97-4.32, 1 K 4.42
K  0.2000  0.0700  0.4758  8 Na 3.97-4.32, 1 K 4.42
K  0.4758  0.2000  0.0700  8 Na 3.97-4.32, 1 K 4.42
K  0.5000  0.5000  0.5000  6 Na 4.01
K  0.5242  0.8000  0.9300  8 Na 3.97-4.32, 1 K 4.42
K  0.8000  0.9300  0.5242  8 Na 3.97-4.32, 1 K 4.42
K  0.9300  0.5242  0.8000  8 Na 3.97-4.32, 1 K 4.42
Na  0.1662  0.8333  0.6931  3 Na 3.57-3.78
Na  0.1667  0.3069  0.8338  3 Na 3.57-3.78
Na  0.1668  0.4695  0.5898  4 Na 3.57-3.93, 1 K 3.97
Na  0.3069  0.8338  0.1667  3 Na 3.57-3.78
Na  0.4102  0.8332  0.5305  4 Na 3.57-3.93, 1 K 3.97
Na  0.4695  0.5898  0.1668  4 Na 3.57-3.93, 1 K 3.97
Na  0.5305  0.4102  0.8332  4 Na 3.57-3.93, 1 K 3.97
Na  0.5898  0.1668  0.4695  4 Na 3.57-3.93, 1 K 3.97
Na  0.6931  0.1662  0.8333  3 Na 3.57-3.78
Na  0.8332  0.5305  0.4102  4 Na 3.57-3.93, 1 K 3.97
Na  0.8333  0.6931  0.1662  3 Na 3.57-3.78
Na  0.8338  0.1667  0.3069  3 Na 3.57-3.78

=====

[8]
This record from Alexandria via LeMat-Bulk describes crystalline CsK7Na2 at its relaxed geometry. The functional is PBE-GGA.

Summary:
SG: P3m1 (156)
crystal system: trigonal
formation energy: 0.0484 eV per atom
DOS(E_F): 8.42 states/eV/f.u.
magnetization: 0.0 μB/f.u.

a = 7.0939 Å, b = 7.0939 Å, c = 16.3186 Å
α = 90.00°, β = 90.00°, γ = 120.00°
With the nearest neighbours (Å) after each atom.
Sites, in units of the cell vectors:
Cs  0.0000  0.0000  0.0000  6 K 4.63-4.75
K  0.0000  0.0000  0.3323  7 K 4.31-4.62
K  0.0000  0.0000  0.6153  6 Na 4.11-4.52
K  0.3333  0.6667  0.1475  5 K 4.32-4.58, 3 Cs 4.75
K  0.3333  0.6667  0.4142  1 Na 3.66
K  0.3333  0.6667  0.8671  1 Na 3.74
K  0.6667  0.3333  0.2321  6 K 4.32-4.41, 1 Na 4.35
K  0.6667  0.3333  0.7498  4 Na 4.10-4.48, 3 K 4.52
Na  0.3333  0.6667  0.6382  2 K 3.66-3.74
Na  0.6667  0.3333  0.4984  8 K 4.10-4.52

=====

[9]
This record from Alexandria via LeMat-Bulk describes crystalline Cs12K6Na at its relaxed geometry. The functional is PBE-GGA.

Summary:
SG: R-3 (148)
crystal system: trigonal
formation energy: 0.0190 eV per atom
DOS(E_F): 18.76 states/eV/f.u.
magnetization: 0.0 μB/f.u.

a = 13.6459 Å, b = 13.6459 Å, c = 13.6459 Å
α = 111.15°, β = 111.15°, γ = 111.15°
With the nearest neighbours (Å) after each atom.
Sites, in units of the cell vectors:
Cs  0.0883  0.1391  0.7380  2 K 4.91-5.06, 1 Na 4.92, 7 Cs 4.93-5.47
Cs  0.1031  0.6112  0.4073  3 K 4.92-5.11, 7 Cs 5.04-5.47
Cs  0.1391  0.7380  0.0883  2 K 4.91-5.06, 1 Na 4.92, 7 Cs 4.93-5.47
Cs  0.2620  0.9117  0.8609  2 K 4.91-5.06, 1 Na 4.92, 7 Cs 4.93-5.47
Cs  0.3888  0.5927  0.8969  3 K 4.92-5.11, 7 Cs 5.04-5.47
Cs  0.4073  0.1031  0.6112  3 K 4.92-5.11, 7 Cs 5.04-5.47
Cs  0.5927  0.8969  0.3888  3 K 4.92-5.11, 7 Cs 5.04-5.47
Cs  0.6112  0.4073  0.1031  3 K 4.92-5.11, 7 Cs 5.04-5.47
Cs  0.7380  0.0883  0.1391  2 K 4.91-5.06, 1 Na 4.92, 7 Cs 4.93-5.47
Cs  0.8609  0.2620  0.9117  2 K 4.91-5.06, 1 Na 4.92, 7 Cs 4.93-5.47
Cs  0.8969  0.3888  0.5927  3 K 4.92-5.11, 7 Cs 5.04-5.47
Cs  0.9117  0.8609  0.2620  2 K 4.91-5.06, 1 Na 4.92, 7 Cs 4.93-5.47
K  0.2118  0.3106  0.4438  2 K 4.54, 1 Na 4.80, 4 Cs 4.91-5.06
K  0.3106  0.4438  0.2118  2 K 4.54, 1 Na 4.80, 4 Cs 4.91-5.06
K  0.4438  0.2118  0.3106  2 K 4.54, 1 Na 4.80, 4 Cs 4.91-5.06
K  0.5562  0.7882  0.6894  2 K 4.54, 1 Na 4.80, 4 Cs 4.91-5.06
K  0.6894  0.5562  0.7882  2 K 4.54, 1 Na 4.80, 4 Cs 4.91-5.06
K  0.7882  0.6894  0.5562  2 K 4.54, 1 Na 4.80, 4 Cs 4.91-5.06
Na  0.0000  0.0000  0.0000  6 K 4.80, 6 Cs 4.92

=====

| no. | calculated total energy (eV/atom) |
| --- | --- |
| 1 | -1.025 |
| 2 | -1.158 |
| 3 | -1.008 |
| 4 | -0.974 |
| 5 | -1.014 |
| 6 | -1.180 |
| 7 | -1.183 |
| 8 | -1.069 |
| 9 | -0.936 |